DFT (PBE-GGA) results for an optimized crystal structure of Ho8Sn2Hg.

Unit cell a=9.980 b=9.980 c=6.759 alpha=103.47 beta=103.47 gamma=29.26
Positions (direct):
Ho 0.021 0.021 0.271
Ho 0.216 0.216 0.823
Ho 0.344 0.344 0.499
Ho 0.407 0.407 0.024
Ho 0.593 0.593 0.976
Ho 0.656 0.656 0.501
Ho 0.784 0.784 0.177
Ho 0.979 0.979 0.729
Sn 0.182 0.182 0.259
Sn 0.818 0.818 0.741
Hg 0.500 0.500 0.500

Theoretical density (Mg/m³): 9.1
Energy of formation (eV per formula unit): -3.602